(1)
This record from Alexandria via LeMat-Bulk describes a crystal of NiSnGe2Br relaxed with PBEsol. The functional is meta-GGA SCAN.

Results
- D(E_F) (states/eV/cell) = 2.08
- formation energy without anion corrections (meV per atom) = 826
- symmetry = P4/mmm (123)

abc: 4.6936 5.3147 5.3147
angles: 90.00 90.00 90.00
With the nearest neighbours (Å) after each atom.
Sites, in units of the cell vectors:
Br (0.5000, 0.5000, 0.5000)  8 Ge 3.55, 4 Ni 3.76
Ni (0.5000, 0.0000, 0.0000)  2 Sn 2.35
Ge (0.0000, 0.0000, 0.5000)  2 Sn 2.66
Ge (0.0000, 0.5000, 0.0000)  2 Sn 2.66
Sn (0.0000, 0.0000, 0.0000)  2 Ni 2.35

=====

(2)
This record from Alexandria via LeMat-Bulk describes a crystal of SrLiLa7Co2O16 relaxed with PBEsol. The functional is meta-GGA SCAN.

Results
- formation energy without anion corrections (meV per atom) = -3095
- symmetry = P1 (1)

abc: 6.7996 7.4742 7.4766
angles: 90.74 105.69 105.77
With the nearest neighbours (Å) after each atom.
Sites, in units of the cell vectors:
O (0.6778, 0.6614, 0.1702)  1 Co 2.02
O (0.0093, 0.7512, 0.4969)  1 Co 1.82, 1 Li 1.91
La (0.2640, 0.0759, 0.5542)  8 O 2.43-2.66
O (0.6797, 0.1702, 0.6768)  1 Co 2.02
La (0.7261, 0.4275, 0.9341)  9 O 2.46-2.69
O (0.6238, 0.1793, 0.1319)  2 La 2.26-2.46
O (0.3766, 0.3275, 0.3593)  2 La 2.27-2.48
O (0.3193, 0.3333, 0.8256)  1 Co 2.00
Sr (0.7215, 0.9290, 0.4329)  8 O 2.54-2.74
O (0.6402, 0.6560, 0.6670)  1 Li 2.15, 1 La 2.28
La (0.2736, 0.5737, 0.0647)  8 O 2.48-2.65
Li (0.9822, 0.7470, 0.7445)  4 O 1.91-1.92
O (0.3648, 0.8244, 0.8617)  2 La 2.29-2.48, 1 Li 2.41
O (0.9956, 0.9917, 0.2505)  1 Co 1.82
La (0.7277, 0.9389, 0.9392)  2 O 2.29-2.49
O (0.9962, 0.7470, 0.0046)  1 Co 1.83, 1 Li 1.92
Co (0.0012, 0.2502, 0.7496)  6 O 1.82-2.02
La (0.7369, 0.4257, 0.4264)  3 O 2.27-2.53
O (0.3147, 0.8324, 0.3258)  1 Co 1.97
Co (0.0003, 0.7500, 0.2509)  6 O 1.82-2.02
La (0.2774, 0.5650, 0.5654)  4 O 2.28-2.54
O (0.0064, 0.2590, 0.9940)  1 Co 1.82
O (0.0009, 0.4952, 0.7516)  1 Co 1.83, 1 Li 1.92
O (0.0072, 0.0076, 0.7516)  1 Co 1.82, 1 Li 1.91
La (0.2662, 0.0726, 0.0690)  4 O 2.26-2.52
O (0.0088, 0.5091, 0.2450)  1 Co 1.82
O (0.0016, 0.2490, 0.5067)  1 Co 1.82

=====

(3)
This record from Alexandria via LeMat-Bulk describes a crystal of Zn2FeCo relaxed with PBEsol. The functional is meta-GGA SCAN.

Results
- E_form (eV/atom) = -0.033
- D(E_F) (states/eV/cell) = 1.98
- symmetry = P4mm (99)

abc: 2.7304 2.7304 6.4319
angles: 90.00 90.00 90.00
With the nearest neighbours (Å) after each atom.
Sites, in units of the cell vectors:
Zn (0.0000, 0.0000, 0.9834)  4 Fe 2.54, 8 Zn 2.68-2.73
Zn (0.5000, 0.5000, 0.2716)  4 Co 2.50, 8 Zn 2.68-2.73
Co (0.0000, 0.0000, 0.5189)  4 Fe 2.35, 4 Zn 2.50
Fe (0.5000, 0.5000, 0.7261)  4 Co 2.35, 4 Zn 2.54

=====

We obtain volume values of 132.6; 350.5; 48.0 Å³/cell for the records listed above, in that order.